First-principles (PBE) data for a relaxed structure of LaHPdAu2, as listed in the Alexandria database.

Geometry as CIF:
```
data_LaHPdAu2
_chemical_formula_sum 'La1 H1 Pd1 Au2'
_space_group_name_H-M_alt 'P 1'
_space_group_IT_number 1
_cell_length_a 5.586
_cell_length_b 4.055
_cell_length_c 5.586
_cell_angle_alpha 90.00
_cell_angle_beta 90.00
_cell_angle_gamma 90.00
loop_
_space_group_symop_operation_xyz
'x,y,z'
loop_
_atom_site_label
_atom_site_type_symbol
_atom_site_fract_x
_atom_site_fract_y
_atom_site_fract_z
H1 H 0.000 0.500 0.000
Au1 Au 0.000 0.000 0.500
Au2 Au 0.500 0.000 0.000
Pd1 Pd 0.500 0.500 0.500
La1 La 0.000 0.000 0.000
```

Values from the calculation:
As for the total energy: -18.08 eV for the cell shown.